The following is a PBEsol calculation of crystalline TlOs2W at its relaxed geometry, from Alexandria.

Cell lengths 2.815, 2.815, 9.467 Å; angles 90.00, 90.00, 118.75 degrees
Positions (direct):
Os  0.500  0.500  0.765
Os  0.000  0.000  0.999
Tl  0.000  0.000  0.505
W  0.500  0.500  0.231

Values from the calculation:
* energy above the lowest structure with this stoichiometry: 0.158 eV/atom
* calculated density: 19.40 Mg/m³
* SG: Cmm2
* calculated volume: 16.447 Å³ per atom
* calculated formation energy: 0.915 eV per atom
* total moment: 0.0 Bohr magnetons per cell
* DFT total energy: -9.30 eV/atom
* DOS at the Fermi energy: 5.03 states/eV per cell